Record 1
The following is a DFT calculation (PBE) of an optimized crystal structure of SrInGe3.

Cell: 5.3206 5.3206 5.3206 Å, 90.00 90.00 90.00°
Space group Pm-3m (No. 221)
Unique sites:
Sr 0.0000 0.0000 0.0000 x1
In 0.5000 0.5000 0.5000 x1
Ge 0.0000 0.5000 0.5000 x3

Values from the calculation:
The calculation puts the formation energy at 29.46 kJ/mol of atoms. Its magnetization is 0.0 μB/f.u.

=====

Record 2
The following is a DFT calculation (PBE) of an optimized crystal structure of NiAs2Ir.

Cell: 2.9245 3.6063 6.3745 Å, 90.00 90.00 90.00°
Space group Pmm2 (No. 25)
Unique sites:
Ni 0.0000 0.0000 0.0000 x1
As 0.0000 0.0000 0.5883 x1
As 0.5000 0.5000 0.1480 x1
Ir 0.5000 0.5000 0.7585 x1

Values from the calculation:
The calculation puts the formation energy at -5.41 kJ/mol of atoms. Its magnetization is 0.0 μB/f.u.

=====

Record 3
The following is a DFT calculation (PBE) of an optimized crystal structure of Pm12C5I3.

Cell: 16.3741 16.3741 16.3741 Å, 90.00 90.00 90.00°
Space group Ia-3d (No. 230)
Unique sites:
Pm 0.0383 0.0509 0.6465 x96
C 0.0000 0.0000 0.0000 x16
C 0.0000 0.2500 0.3750 x24
I 0.0000 0.2500 0.1250 x24

Values from the calculation:
The value obtained for the formation energy without anion corrections is -147.1 meV per atom. Its magnetization is 0.0 μB/f.u.

=====

Record 4
The following is a DFT calculation (PBE) of an optimized crystal structure of TlSnTeI.

Cell: 4.5949 4.5949 25.2095 Å, 90.00 90.00 120.00°
Space group R3m (No. 160, hexagonal axes)
Unique sites:
Tl 0.0000 0.0000 0.0000 x3
Sn 0.0000 0.0000 0.1810 x3
Te 0.0000 0.0000 0.5786 x3
I 0.0000 0.0000 0.7612 x3

Values from the calculation:
The value obtained for the formation energy without anion corrections is -410.8 meV per atom. Its magnetization is 0.0 μB/f.u.

=====

Record 5
The following is a DFT calculation (PBE) of an optimized crystal structure of Mn2InSn2.

Cell: 7.1302 7.1302 3.9214 Å, 90.00 90.00 90.00°
Space group P4/mbm (No. 127)
Unique sites:
Mn 0.1321 0.3679 0.0000 x4
In 0.0000 0.0000 0.0000 x2
Sn 0.1640 0.6640 0.5000 x4

Values from the calculation:
The calculation puts the formation energy at 18.75 kJ/mol of atoms. Its magnetization is 6.0 μB/f.u.

=====

Record 6
The following is a DFT calculation (PBE) of an optimized crystal structure of LiCeN.

Cell: 3.2605 3.2605 11.8331 Å, 90.00 90.00 90.00°
Space group I4mm (No. 107)
Unique sites:
Li 0.0000 0.0000 0.0000 x2
Ce 0.0000 0.0000 0.2842 x2
N 0.0000 0.0000 0.8325 x2

Values from the calculation:
The value obtained for the formation energy without anion corrections is -711.6 meV per atom. Its magnetization is 0.4 μB/f.u.

=====

Record 7
The following is a DFT calculation (PBE) of an optimized crystal structure of Ti4Ga5Cu2.

Cell: 6.7627 2.8263 8.8576 Å, 90.00 94.09 90.00°
Space group P2/m (No. 10)
Unique sites:
Ti 0.1639 0.0000 0.3901 x2
Ti 0.2826 0.0000 0.9442 x2
Ga 0.1882 0.5000 0.6677 x2
Ga 0.4261 0.5000 0.2001 x2
Ga 0.5000 0.5000 0.5000 x1
Cu 0.0572 0.5000 0.1334 x2

Values from the calculation:
The calculation puts the formation energy at -33.88 kJ/mol of atoms. Its magnetization is 0.0 μB/f.u.

=====

Record 8
The following is a DFT calculation (PBE) of an optimized crystal structure of CeScZnGe.

Cell: 6.9789 6.9789 6.9789 Å, 90.00 90.00 90.00°
Space group F-43m (No. 216)
Unique sites:
Ce 0.0000 0.0000 0.0000 x4
Sc 0.0000 0.0000 0.5000 x4
Zn 0.2500 0.2500 0.2500 x4
Ge 0.2500 0.2500 0.7500 x4

Values from the calculation:
The calculation puts the formation energy at -46.18 kJ/mol of atoms. Its magnetization is 0.7 μB/f.u.

=====

Record 9
The following is a DFT calculation (PBE) of an optimized crystal structure of Cr2MoP.

Cell: 3.1476 4.4221 7.4496 Å, 90.00 90.00 90.00°
Space group Cmm2 (No. 35)
Unique sites:
Cr 0.0000 0.0000 0.0000 x2
Cr 0.0000 0.5000 0.2448 x2
Mo 0.0000 0.5000 0.7264 x2
P 0.0000 0.0000 0.4678 x2

Values from the calculation:
The calculation puts the formation energy at 11.56 kJ/mol of atoms. Its magnetization is 0.1 μB/f.u.

=====

Record 10
The following is a DFT calculation (PBE) of an optimized crystal structure of Sb2AsRhI.

Cell: 5.3283 5.3283 5.3763 Å, 90.00 90.00 90.00°
Space group P4/mmm (No. 123)
Unique sites:
Sb 0.0000 0.5000 0.0000 x2
As 0.0000 0.0000 0.0000 x1
Rh 0.5000 0.5000 0.5000 x1
I 0.0000 0.0000 0.5000 x1

Values from the calculation:
The value obtained for the formation energy without anion corrections is 1136.9 meV per atom. Its magnetization is 0.5 μB/f.u.

=====

Record 11
The following is a DFT calculation (PBE) of an optimized crystal structure of Y2ScAl.

Cell: 3.4942 3.4942 30.9149 Å, 90.00 90.00 120.00°
Space group R-3m (No. 166, hexagonal axes)
Unique sites:
Y 0.0000 0.0000 0.2424 x6
Sc 0.0000 0.0000 0.0000 x3
Al 0.0000 0.0000 0.5000 x3

Values from the calculation:
The calculation puts the formation energy at -3.12 kJ/mol of atoms. Its magnetization is 0.0 μB/f.u.

=====

Record 12
The following is a DFT calculation (PBE) of an optimized crystal structure of InIrRu2.

Cell: 3.9825 3.9825 3.9308 Å, 90.00 90.00 90.00°
Space group P4/mmm (No. 123)
Unique sites:
In 0.0000 0.0000 0.0000 x1
Ir 0.5000 0.5000 0.0000 x1
Ru 0.0000 0.5000 0.5000 x2

Values from the calculation:
The calculation puts the formation energy at 27.23 kJ/mol of atoms. Its magnetization is 0.0 μB/f.u.

=====

Record 13
The following is a DFT calculation (PBE) of an optimized crystal structure of Rb2USnS5.

Cell: 4.2478 18.8706 14.4557 Å, 90.00 90.00 90.00°
Space group Cmc2_1 (No. 36)
Unique sites:
Rb 0.0000 0.1082 0.0000 x4
Rb 0.0000 0.1347 0.6492 x4
U 0.0000 0.2087 0.3591 x4
Sn 0.0000 0.4433 0.7629 x4
S 0.0000 0.0571 0.3614 x4
S 0.0000 0.2913 0.9719 x4
S 0.0000 0.3098 0.7344 x4
S 0.0000 0.3374 0.3317 x4
S 0.0000 0.4982 0.6173 x4

Values from the calculation:
The value obtained for the formation energy without anion corrections is -1033.5 meV per atom. Its magnetization is 1.4 μB/f.u.

=====

Record 14
The following is a DFT calculation (PBE) of an optimized crystal structure of Dy4PuTe5.

Cell: 14.5619 4.3485 10.6970 Å, 90.00 119.61 90.00°
Space group C2/m (No. 12)
Unique sites:
Dy 0.0989 0.0000 0.3975 x4
Dy 0.2012 0.5000 0.8018 x4
Pu 0.0000 0.5000 0.0000 x2
Te 0.0000 0.5000 0.5000 x2
Te 0.1015 0.0000 0.8986 x4
Te 0.2025 0.5000 0.3037 x4

Values from the calculation:
The value obtained for the formation energy without anion corrections is -1261.7 meV per atom. Its magnetization is 6.1 μB/f.u.

=====

Record 15
The following is a DFT calculation (PBE) of an optimized crystal structure of Sm8DySc4.

Cell: 7.0044 7.0044 28.5766 Å, 90.00 90.00 120.00°
Space group R-3m (No. 166, hexagonal axes)
Unique sites:
Sm 0.0000 0.0000 0.2116 x6
Sm 0.0229 0.5115 0.7590 x18
Dy 0.0000 0.0000 0.5000 x3
Sc 0.0000 0.0000 0.0000 x3
Sc 0.0000 0.5000 0.0000 x9

Values from the calculation:
The calculation puts the formation energy at 23.52 kJ/mol of atoms. Its magnetization is 0.0 μB/f.u.

=====

Record 16
The following is a DFT calculation (PBE) of an optimized crystal structure of ErThZr2.

Cell: 7.5275 7.5275 7.5275 Å, 90.00 90.00 90.00°
Space group Fm-3m (No. 225)
Unique sites:
Er 0.0000 0.0000 0.0000 x4
Th 0.0000 0.0000 0.5000 x4
Zr 0.2500 0.2500 0.2500 x8

Values from the calculation:
The calculation puts the formation energy at 16.11 kJ/mol of atoms. Its magnetization is 0.0 μB/f.u.

=====

Record 17
The following is a DFT calculation (PBE) of an optimized crystal structure of KSmCdCl6.

Cell: 7.0093 7.0093 13.8247 Å, 90.00 90.00 120.00°
Space group P-31c (No. 163)
Unique sites:
K 0.0000 0.0000 0.0000 x2
Sm 0.3333 0.6667 0.2500 x2
Cd 0.3333 0.6667 0.7500 x2
Cl 0.0052 0.3732 0.6388 x12

Values from the calculation:
The value obtained for the formation energy without anion corrections is -1831.2 meV per atom. Its magnetization is 0.0 μB/f.u.

=====

Record 18
The following is a DFT calculation (PBE) of an optimized crystal structure of AlOs2Ru2.

Cell: 7.4304 7.4304 2.7816 Å, 90.00 90.00 90.00°
Space group P4/mbm (No. 127)
Unique sites:
Al 0.0000 0.0000 0.0000 x2
Os 0.1240 0.3760 0.0000 x4
Ru 0.1707 0.6707 0.5000 x4

Values from the calculation:
The calculation puts the formation energy at 25.07 kJ/mol of atoms. Its magnetization is 0.0 μB/f.u.

=====

Record 19
The following is a DFT calculation (PBE) of an optimized crystal structure of Rb2SnOsI6.

Cell: 8.2929 8.2929 11.7173 Å, 90.00 90.00 90.00°
Space group I4/mmm (No. 139)
Unique sites:
Rb 0.0000 0.5000 0.2500 x4
Sn 0.0000 0.0000 0.0000 x2
Os 0.0000 0.0000 0.5000 x2
I 0.0000 0.0000 0.2671 x4
I 0.2329 0.2329 0.5000 x8

Values from the calculation:
The value obtained for the formation energy without anion corrections is -482.3 meV per atom. Its magnetization is 0.0 μB/f.u.

=====

Record 20
The following is a DFT calculation (PBE) of an optimized crystal structure of CsZr3Cu.

Cell: 5.2416 5.2416 5.2416 Å, 90.00 90.00 90.00°
Space group Pm-3m (No. 221)
Unique sites:
Cs 0.0000 0.0000 0.0000 x1
Zr 0.0000 0.0000 0.5000 x3
Cu 0.5000 0.5000 0.5000 x1

Values from the calculation:
The calculation puts the formation energy at 213.83 kJ/mol of atoms. Its magnetization is 0.0 μB/f.u.